Record 1
Zr2Sc2Pt3: optimized geometry, GGA-PBE.

Calculated values
Energy of formation from the pure elements (meV/atom): -936.2

Unit cell a=7.9031 b=4.6027 c=8.3011 alpha=90.00 beta=108.19 gamma=90.00
With the nearest neighbours (Å) after each atom.
Space group C2/m (No. 12)
Asymmetric unit:
Zr (0.1217, 0.0000, 0.3680) (multiplicity 4)  7 Pt 2.84-3.15
Sc (0.1286, 0.5000, 0.8827) (multiplicity 4)  5 Pt 2.76-3.02
Pt (0.0000, 0.5000, 0.5000) (multiplicity 2)  6 Zr 2.84-2.85, 2 Sc 3.02
Pt (0.2420, 0.5000, 0.2322) (multiplicity 4)  4 Sc 2.76-2.80, 3 Zr 2.85-2.86

=====

Record 2
Fe2TeW: optimized geometry, GGA-PBE.

Calculated values
Formation energy without anion corrections (eV per atom): 0.61

Unit cell a=3.2528 b=4.3886 c=8.5552 alpha=90.00 beta=90.00 gamma=90.00
With the nearest neighbours (Å) after each atom.
Space group Immm (No. 71)
Asymmetric unit:
Fe (0.0000, 0.0000, 0.2502) (multiplicity 4)  2 Te 2.69, 2 W 2.69, 4 Fe 2.73
Te (0.0000, 0.5000, 0.0000) (multiplicity 2)  4 Fe 2.69, 4 W 2.73
W (0.0000, 0.5000, 0.5000) (multiplicity 2)  4 Fe 2.69, 4 Te 2.73

=====

Record 3
TlSn2F5: optimized geometry, GGA-PBE.

Calculated values
Formation energy without anion corrections (eV per atom): -2.13

Unit cell a=8.4051 b=10.8091 c=7.2446 alpha=90.00 beta=90.00 gamma=90.00
With the nearest neighbours (Å) after each atom.
Space group Pbam (No. 55)
Asymmetric unit:
Tl (0.1256, 0.1689, 0.0000) (multiplicity 4)  8 F 2.77-3.07
Sn (0.0000, 0.5000, 0.2541) (multiplicity 4)  4 F 2.27-2.32
Sn (0.0403, 0.8342, 0.5000) (multiplicity 4)  3 F 2.09-2.31
F (0.0000, 0.0000, 0.3040) (multiplicity 4)  2 Sn 2.31
F (0.1127, 0.6952, 0.2294) (multiplicity 8)  2 Sn 2.32-2.54
F (0.1433, 0.4492, 0.0000) (multiplicity 4)  2 Sn 2.27
F (0.2223, 0.3916, 0.5000) (multiplicity 4)  1 Sn 2.09

=====

Record 4
K2AgPd: optimized geometry, GGA-PBE.

Calculated values
Energy of formation from the pure elements (meV/atom): 149.3

Unit cell a=11.4184 b=11.4184 c=5.3204 alpha=90.00 beta=90.00 gamma=90.00
With the nearest neighbours (Å) after each atom.
Space group I-42d (No. 122)
Asymmetric unit:
K (0.0828, 0.2500, 0.1250) (multiplicity 8)  2 Pd 3.08
Ag (0.0000, 0.0000, 0.5000) (multiplicity 4)  2 Pd 2.66
Pd (0.0000, 0.0000, 0.0000) (multiplicity 4)  2 Ag 2.66

=====

Record 5
Sc8Os2Pb: optimized geometry, GGA-PBE.

Calculated values
Energy of formation from the pure elements (meV/atom): -307.4

Unit cell a=8.2020 b=14.7847 c=4.8754 alpha=90.00 beta=126.42 gamma=90.00
With the nearest neighbours (Å) after each atom.
Space group Cm (No. 8)
Asymmetric unit:
Sc (0.0000, 0.0000, 0.0000) (multiplicity 2)  2 Os 2.76, 2 Sc 2.98-2.99
Sc (0.0595, 0.3839, 0.5609) (multiplicity 4)  1 Os 2.63
Sc (0.2621, 0.0000, 0.7603) (multiplicity 2)  1 Pb 2.91, 4 Sc 2.98-3.18
Sc (0.3739, 0.2089, 0.8761) (multiplicity 4)  3 Os 2.71-2.82, 3 Sc 3.01-3.03
Sc (0.4219, 0.3260, 0.4239) (multiplicity 4)  3 Os 2.82-2.98, 1 Pb 2.95, 3 Sc 3.01-3.03
Os (0.1795, 0.1689, 0.1825) (multiplicity 4)  6 Sc 2.63-2.82
Pb (0.2029, 0.5000, 0.2039) (multiplicity 2)  9 Sc 2.91-3.13

=====

Record 6
HfScTl3: optimized geometry, GGA-PBE.

Calculated values
Energy of formation from the pure elements (meV/atom): 650.3

Unit cell a=5.4890 b=5.4890 c=5.4890 alpha=90.00 beta=90.00 gamma=90.00
With the nearest neighbours (Å) after each atom.
Space group Pm-3m (No. 221)
Asymmetric unit:
Hf (0.0000, 0.0000, 0.0000) (multiplicity 1)  6 Tl 2.74
Sc (0.5000, 0.5000, 0.5000) (multiplicity 1)  12 Tl 3.88
Tl (0.0000, 0.0000, 0.5000) (multiplicity 3)  2 Hf 2.74

=====

Record 7
CaMoN3: optimized geometry, GGA-PBE.

Calculated values
Formation energy without anion corrections (eV per atom): -0.27

Unit cell a=4.0785 b=4.0785 c=15.8651 alpha=90.00 beta=90.00 gamma=90.00
With the nearest neighbours (Å) after each atom.
Space group I-4m2 (No. 119)
Asymmetric unit:
Ca (0.0000, 0.0000, 0.0955) (multiplicity 4)  4 N 2.41-2.68
Mo (0.0000, 0.0000, 0.5000) (multiplicity 2)  4 N 2.05
Mo (0.0000, 0.5000, 0.2500) (multiplicity 2)  4 N 1.93
N (0.0000, 0.1598, 0.3347) (multiplicity 8)  1 N 1.30
N (0.0000, 0.5000, 0.5140) (multiplicity 4)  2 Mo 2.05

=====

Record 8
InHg4Au: optimized geometry, GGA-PBE.

Calculated values
Energy of formation from the pure elements (meV/atom): 199.6

Unit cell a=8.5768 b=8.5768 c=8.5768 alpha=90.00 beta=90.00 gamma=90.00
With the nearest neighbours (Å) after each atom.
Space group F-43m (No. 216)
Asymmetric unit:
In (0.0000, 0.0000, 0.0000) (multiplicity 4)  12 Hg 3.56, 4 Au 3.71
Hg (0.1246, 0.1246, 0.3754) (multiplicity 16)  6 Hg 3.02-3.04
Au (0.2500, 0.2500, 0.7500) (multiplicity 4)  12 Hg 3.55, 4 In 3.71

=====

Record 9
CaScOs3: optimized geometry, GGA-PBE.

Calculated values
Energy of formation from the pure elements (meV/atom): 1651.3

Unit cell a=4.7477 b=4.7477 c=4.7477 alpha=90.00 beta=90.00 gamma=90.00
With the nearest neighbours (Å) after each atom.
Space group Pm-3m (No. 221)
Asymmetric unit:
Ca (0.0000, 0.0000, 0.0000) (multiplicity 1)  12 Os 3.36
Sc (0.5000, 0.5000, 0.5000) (multiplicity 1)  6 Os 2.37
Os (0.0000, 0.5000, 0.5000) (multiplicity 3)  2 Sc 2.37

=====

Record 10
PrDyS: optimized geometry, GGA-PBE.

Calculated values
Formation energy without anion corrections (eV per atom): -0.75

Unit cell a=3.6449 b=5.4697 c=16.4125 alpha=90.00 beta=90.00 gamma=90.00
With the nearest neighbours (Å) after each atom.
Space group Immm (No. 71)
Asymmetric unit:
Pr (0.0000, 0.0000, 0.1735) (multiplicity 4)  1 S 2.82
Dy (0.0000, 0.2427, 0.5000) (multiplicity 4)  2 Dy 2.66-2.81, 2 S 2.86
S (0.0000, 0.0000, 0.3454) (multiplicity 4)  1 Pr 2.82, 2 Dy 2.86

=====

Record 11
SrEr2Pu: optimized geometry, GGA-PBE.

Calculated values
Energy of formation from the pure elements (meV/atom): 322.3

Unit cell a=3.5391 b=3.5391 c=37.5090 alpha=90.00 beta=90.00 gamma=120.00
With the nearest neighbours (Å) after each atom.
Space group R-3m (No. 166, hexagonal axes)
Asymmetric unit:
Sr (0.0000, 0.0000, 0.0000) (multiplicity 3)  2 Er 3.52, 6 Sr 3.54
Er (0.0000, 0.0000, 0.0937) (multiplicity 6)  3 Pu 3.41, 1 Sr 3.52, 6 Er 3.54
Pu (0.0000, 0.0000, 0.5000) (multiplicity 3)  6 Er 3.41, 6 Pu 3.54

=====

Record 12
Zr2Ta2Zn: optimized geometry, GGA-PBE.

Calculated values
Energy of formation from the pure elements (meV/atom): 527.2

Unit cell a=3.8488 b=3.8488 c=14.5903 alpha=90.00 beta=90.00 gamma=90.00
With the nearest neighbours (Å) after each atom.
Space group I4/mmm (No. 139)
Asymmetric unit:
Zr (0.0000, 0.0000, 0.0946) (multiplicity 4)  1 Zr 2.76, 4 Ta 2.97, 4 Zn 3.05
Ta (0.0000, 0.5000, 0.2500) (multiplicity 4)  4 Ta 2.72, 4 Zr 2.97
Zn (0.0000, 0.0000, 0.5000) (multiplicity 2)  8 Zr 3.05

=====

Number 1: E -0.286 hartree per atom, magnetization 0.000 μB/f.u.. Number 2: E -0.281 hartree per atom, magnetization 4.178 μB/f.u.. Number 3: E -0.169 hartree per atom, magnetization 0.000 μB/f.u.. Number 4: E -0.089 hartree per atom, magnetization 0.000 μB/f.u.. Number 5: E -0.268 hartree per atom, magnetization 0.000 μB/f.u.. Number 6: E -0.148 hartree per atom, magnetization 0.000 μB/f.u.. Number 7: E -0.288 hartree per atom, magnetization 0.000 μB/f.u.. Number 8: E -0.037 hartree per atom, magnetization 0.000 μB/f.u.. Number 9: E -0.248 hartree per atom, magnetization 1.269 μB/f.u.. Number 10: E -0.193 hartree per atom, magnetization 0.000 μB/f.u.. Number 11: E -0.219 hartree per atom, magnetization 6.215 μB/f.u.. Number 12: E -0.290 hartree per atom, magnetization 0.000 μB/f.u..